# 1
A geometry-optimized NdHoPu2 structure. Source: the Alexandria database, functional PBE.

Summary:
formation energy = 77 kJ/mol of formula units
D(E_F) = 3.5974 states/eV/atom
spin magnetization = 12.79 μB/f.u.

POSCAR file:
```
NdHoPu2
1.0
3.439 0.000 0.000
0.000 3.439 0.000
0.000 0.000 10.140
Nd Ho Pu
1 1 2
Cartesian
0.000 0.000 0.000
0.000 0.000 5.070
1.719 1.719 2.591
1.719 1.719 7.549
```

---

# 2
A geometry-optimized SiPt2Au structure. Source: the Alexandria database, functional PBE.

Summary:
D(E_F) = 0.3392 states/eV/atom
spin magnetization = 0.00 μB/f.u.
formation energy (no corrections) = -0.35 eV per atom

POSCAR file:
```
SiPt2Au
1.0
3.307 -1.885 0.000
3.307 1.885 0.000
-2.145 0.000 5.483
Si Pt Au
1 2 1
Cartesian
0.000 0.000 0.000
0.054 0.000 4.469
4.414 0.000 1.014
2.234 0.000 2.741
```

---

# 3
A geometry-optimized NdAl10Ru2 structure. Source: the Alexandria database, functional PBE.

Summary:
formation energy = -654 kJ/mol of formula units
D(E_F) = 0.2558 states/eV/atom
spin magnetization = 0.00 μB/f.u.

POSCAR file:
```
NdAl10Ru2
1.0
4.568 -5.144 0.000
4.568 5.144 0.000
0.000 0.000 9.206
Nd Al Ru
2 20 4
Cartesian
4.568 3.860 6.904
4.568 -3.860 2.301
2.514 1.387 6.904
4.568 3.498 0.932
4.568 3.498 3.671
3.204 1.343 2.301
2.072 0.000 0.000
2.072 0.000 4.603
4.568 1.259 5.057
4.568 1.259 8.751
2.514 -1.387 2.301
3.204 -1.343 6.904
5.932 1.343 2.301
6.623 1.387 6.904
4.568 -1.259 0.454
4.568 -1.259 4.149
7.064 0.000 0.000
7.064 0.000 4.603
5.932 -1.343 6.904
4.568 -3.498 5.535
4.568 -3.498 8.274
6.623 -1.387 2.301
2.284 2.572 0.000
2.284 2.572 4.603
2.284 -2.572 0.000
2.284 -2.572 4.603
```

---

# 4
A geometry-optimized SrTlW3 structure. Source: the Alexandria database, functional PBE.

Summary:
formation energy = 1718 kJ/mol of formula units
D(E_F) = 1.5413 states/eV/atom
spin magnetization = 0.00 μB/f.u.

POSCAR file:
```
SrTlW3
1.0
4.888 0.000 0.000
0.000 4.888 0.000
0.000 0.000 4.888
Sr Tl W
1 1 3
Cartesian
0.000 0.000 0.000
2.444 2.444 2.444
0.000 0.000 2.444
0.000 2.444 0.000
2.444 0.000 0.000
```